A relaxed FeCuGeO4 crystal. Source: Alexandria via LeMat-Bulk, functional PBE+U.

M_tot   5.01 μB per formula unit
Mass density   5.41 Mg/m³
Calculated volume   157 Å³ per cell
Electronic total energy   -85.63 eV/cell
DOS at the Fermi energy   0.083 states/eV/atom

Cell: 5.1763 5.1763 6.4101 Å, 90.00 90.00 113.87°
Closest atoms and distances in Å follow each position.
Sites, in units of the cell vectors:
1 Fe 0.0000 0.0000 0.0000  6 O 1.99-2.15
2 Fe 0.0000 0.0000 0.5000  6 O 1.99-2.15
3 Cu 0.3095 0.6905 0.7500  2 O 1.92
4 Cu 0.6905 0.3095 0.2500  2 O 1.92
5 Ge 0.3492 0.6508 0.2500  4 O 1.76-1.81
6 Ge 0.6508 0.3492 0.7500  4 O 1.76-1.81
7 O 0.2286 0.7714 0.0294  1 Ge 1.76, 1 Cu 1.92
8 O 0.2286 0.7714 0.4706  1 Ge 1.76, 1 Cu 1.92
9 O 0.2348 0.2701 0.2500  1 Ge 1.81
10 O 0.2701 0.2348 0.7500  1 Ge 1.81
11 O 0.7299 0.7652 0.2500  1 Ge 1.81
12 O 0.7652 0.7299 0.7500  1 Ge 1.81
13 O 0.7714 0.2286 0.5294  1 Ge 1.76, 1 Cu 1.92
14 O 0.7714 0.2286 0.9706  1 Ge 1.76, 1 Cu 1.92


A relaxed FeCuGeO2 crystal. Source: Alexandria via LeMat-Bulk, functional PBE+U.

M_tot   3.25 μB per formula unit
Mass density   5.52 Mg/m³
Calculated volume   67 Å³ per cell
Electronic total energy   -22.72 eV/cell
DOS at the Fermi energy   0.391 states/eV/atom

Cell: 3.7766 3.7766 4.7289 Å, 90.00 90.00 90.00°
Closest atoms and distances in Å follow each position.
Sites, in units of the cell vectors:
1 Fe 0.0000 0.0000 0.0000  2 Cu 2.36
2 Cu 0.0000 0.0000 0.5000  4 O 1.89
3 Ge 0.5000 0.5000 0.0000  4 Fe 2.67
4 O 0.0000 0.5000 0.5000  2 Cu 1.89
5 O 0.5000 0.0000 0.5000  2 Cu 1.89